## Ho2Co12P7 (PBEsol)

Data for Ho2Co12P7 after structural relaxation.

Calculated values
Total energy (eV/atom): -7.727
Spin magnetization (μB/f.u.): 4.49
Mass density (g/cm3): 8.63

```
data_Ho2Co12P7
_symmetry_space_group_name_H-M 'P 1'
_symmetry_Int_Tables_number 1
_cell_length_a 8.888
_cell_length_b 8.888
_cell_length_c 3.526
_cell_angle_alpha 90.00
_cell_angle_beta 90.00
_cell_angle_gamma 120.00
loop_
_symmetry_equiv_pos_as_xyz
'x,y,z'
loop_
_atom_site_label
_atom_site_type_symbol
_atom_site_fract_x
_atom_site_fract_y
_atom_site_fract_z
Ho1 Ho 0.000 0.000 0.000
Ho2 Ho 0.333 0.667 0.500
Co1 Co 0.042 0.273 0.500
Co2 Co 0.102 0.715 0.000
Co3 Co 0.232 0.958 0.500
Co4 Co 0.285 0.386 0.000
Co5 Co 0.432 0.202 0.000
Co6 Co 0.513 0.453 0.500
Co7 Co 0.547 0.060 0.500
Co8 Co 0.614 0.898 0.000
Co9 Co 0.727 0.768 0.500
Co10 Co 0.770 0.568 0.000
Co11 Co 0.798 0.230 0.000
Co12 Co 0.940 0.487 0.500
P1 P 0.069 0.444 0.000
P2 P 0.261 0.220 0.500
P3 P 0.375 0.931 0.000
P4 P 0.556 0.625 0.000
P5 P 0.667 0.333 0.500
P6 P 0.780 0.041 0.500
P7 P 0.959 0.739 0.500
```